# 1
# PBE Ac4Si2Pt, relaxed
# **ΔE_f (raw)**: -645 meV per atom
# **Calculated density**: 8.7 g/cm3
# **Crystal system**: tetragonal
data_Ac4Si2Pt
_cell_length_a 9.481
_cell_length_b 9.481
_cell_length_c 9.887
_cell_angle_alpha 90.00
_cell_angle_beta 90.00
_cell_angle_gamma 90.00
_space_group_name_H-M_alt 'I -4 2 d'
_space_group_IT_number 122
_space_group_name_Hall 'I -4 2bw'
loop_
_atom_site_label
_atom_site_type_symbol
_atom_site_fract_x
_atom_site_fract_y
_atom_site_fract_z
_atom_site_occupancy
Ac1 Ac 0.065 0.191 0.313 1
Si1 Si 0.111 0.250 0.625 1
Pt1 Pt 0.000 0.000 0.000 1

# 2
# PBE Ac3Si3Pt, relaxed
# **ΔE_f (raw)**: -790 meV per atom
# **Calculated density**: 8.5 g/cm3
# **Crystal system**: orthorhombic
data_Ac3Si3Pt
_cell_length_a 4.242
_cell_length_b 4.580
_cell_length_c 19.201
_cell_angle_alpha 90.00
_cell_angle_beta 90.00
_cell_angle_gamma 90.00
_space_group_name_H-M_alt 'I m m 2'
_space_group_IT_number 44
_space_group_name_Hall 'I 2 -2'
loop_
_atom_site_label
_atom_site_type_symbol
_atom_site_fract_x
_atom_site_fract_y
_atom_site_fract_z
_atom_site_occupancy
Ac1 Ac 0.000 0.000 0.000 1
Ac2 Ac 0.000 0.000 0.367 1
Ac3 Ac 0.000 0.500 0.683 1
Si1 Si 0.000 0.000 0.548 1
Si2 Si 0.000 0.000 0.818 1
Si3 Si 0.000 0.500 0.244 1
Pt1 Pt 0.000 0.500 0.118 1

# 3
# PBE Ac2Si2Pt, relaxed
# **ΔE_f (raw)**: -878 meV per atom
# **Calculated density**: 9.1 g/cm3
# **Crystal system**: monoclinic
# **ΔE to the lowest computed polymorph**: 0.000 eV per atom
data_Ac2Si2Pt
_cell_length_a 11.578
_cell_length_b 4.433
_cell_length_c 11.242
_cell_angle_alpha 90.00
_cell_angle_beta 116.71
_cell_angle_gamma 90.00
_space_group_name_H-M_alt 'C 1 2/m 1'
_space_group_IT_number 12
_space_group_name_Hall '-C 2y'
loop_
_atom_site_label
_atom_site_type_symbol
_atom_site_fract_x
_atom_site_fract_y
_atom_site_fract_z
_atom_site_occupancy
Ac1 Ac 0.108 0.000 0.400 1
Ac2 Ac 0.214 0.500 0.144 1
Si1 Si 0.035 0.000 0.914 1
Si2 Si 0.099 0.500 0.611 1
Pt1 Pt 0.050 0.500 0.813 1

# 4
# PBE Ac6SiPt3, relaxed
# **ΔE_f (raw)**: -817 meV per atom
# **Calculated density**: 9.5 g/cm3
# **Crystal system**: monoclinic
data_Ac6SiPt3
_cell_length_a 12.819
_cell_length_b 4.465
_cell_length_c 12.989
_cell_angle_alpha 90.00
_cell_angle_beta 111.27
_cell_angle_gamma 90.00
_space_group_name_H-M_alt 'P 1 21/m 1'
_space_group_IT_number 11
_space_group_name_Hall '-P 2yb'
loop_
_atom_site_label
_atom_site_type_symbol
_atom_site_fract_x
_atom_site_fract_y
_atom_site_fract_z
_atom_site_occupancy
Ac1 Ac 0.042 0.250 0.392 1
Ac2 Ac 0.106 0.750 0.949 1
Ac3 Ac 0.243 0.250 0.765 1
Ac4 Ac 0.248 0.750 0.292 1
Ac5 Ac 0.406 0.250 0.575 1
Ac6 Ac 0.439 0.250 0.108 1
Si1 Si 0.199 0.750 0.555 1
Pt1 Pt 0.014 0.250 0.791 1
Pt2 Pt 0.339 0.750 0.939 1
Pt3 Pt 0.415 0.250 0.342 1

# 5
# PBE AcSiPt3, relaxed
# **ΔE_f (raw)**: -1047 meV per atom
# **Calculated density**: 14.2 g/cm3
# **Crystal system**: tetragonal
# **ΔE to the lowest computed polymorph**: 0.000 eV per atom
data_AcSiPt3
_cell_length_a 4.227
_cell_length_b 4.227
_cell_length_c 11.014
_cell_angle_alpha 90.00
_cell_angle_beta 90.00
_cell_angle_gamma 90.00
_space_group_name_H-M_alt 'I 4 m m'
_space_group_IT_number 107
_space_group_name_Hall 'I 4 -2'
loop_
_atom_site_label
_atom_site_type_symbol
_atom_site_fract_x
_atom_site_fract_y
_atom_site_fract_z
_atom_site_occupancy
Ac1 Ac 0.000 0.000 0.000 1
Si1 Si 0.000 0.000 0.363 1
Pt1 Pt 0.000 0.000 0.578 1
Pt2 Pt 0.000 0.500 0.253 1

# 6
# PBE AcSi2Pt, relaxed
# **ΔE_f (raw)**: -881 meV per atom
# **Calculated density**: 9.4 g/cm3
# **Crystal system**: trigonal
# **ΔE to the lowest computed polymorph**: 0.000 eV per atom
data_AcSi2Pt
_cell_length_a 4.1746
_cell_length_b 4.1746
_cell_length_c 16.7982
_cell_angle_alpha 90.00
_cell_angle_beta 90.00
_cell_angle_gamma 120.00
_space_group_name_H-M_alt 'R -3 m'
_space_group_IT_number 166
_space_group_name_Hall '-R 3 2"'
loop_
_atom_site_label
_atom_site_type_symbol
_atom_site_fract_x
_atom_site_fract_y
_atom_site_fract_z
_atom_site_occupancy
Ac1 Ac 0.0000 0.0000 0.0000 1
Si1 Si 0.0000 0.0000 0.2099 1
Pt1 Pt 0.0000 0.0000 0.5000 1

# 7
# PBE Ac4SiPt4, relaxed
# **ΔE_f (raw)**: -1037 meV per atom
# **Calculated density**: 11.1 g/cm3
# **Crystal system**: tetragonal
data_Ac4SiPt4
_cell_length_a 8.765
_cell_length_b 8.765
_cell_length_c 6.712
_cell_angle_alpha 90.00
_cell_angle_beta 90.00
_cell_angle_gamma 90.00
_space_group_name_H-M_alt 'P 42/n m c'
_space_group_IT_number 137
loop_
_space_group_symop_operation_xyz
'x,y,z'
'-x,-y,-z'
'-y+1/2,x,z+1/2'
'y+1/2,-x,-z+1/2'
'-x+1/2,-y+1/2,z'
'x+1/2,y+1/2,-z'
'y,-x+1/2,z+1/2'
'-y,x+1/2,-z+1/2'
'x+1/2,-y,-z'
'-x+1/2,y,z'
'-y,-x,-z+1/2'
'y,x,z+1/2'
'-x,y+1/2,-z'
'x,-y+1/2,z'
'y+1/2,x+1/2,-z+1/2'
'-y+1/2,-x+1/2,z+1/2'
loop_
_atom_site_label
_atom_site_type_symbol
_atom_site_fract_x
_atom_site_fract_y
_atom_site_fract_z
_atom_site_occupancy
Ac1 Ac 0.024 0.250 0.068 1
Si1 Si 0.250 0.750 0.250 1
Pt1 Pt 0.024 0.750 0.464 1

# 8
# PBE AcSi2Pt, relaxed
# **ΔE_f (raw)**: -709 meV per atom
# **Calculated density**: 8.7 g/cm3
# **Crystal system**: tetragonal
# **ΔE to the lowest computed polymorph**: 0.173 eV per atom
data_AcSi2Pt
_cell_length_a 4.448
_cell_length_b 4.448
_cell_length_c 9.180
_cell_angle_alpha 90.00
_cell_angle_beta 90.00
_cell_angle_gamma 90.00
_space_group_name_H-M_alt 'P 4/n m m'
_space_group_IT_number 129
loop_
_space_group_symop_operation_xyz
'x,y,z'
'-x,-y,-z'
'-y+1/2,x,z'
'y+1/2,-x,-z'
'-x+1/2,-y+1/2,z'
'x+1/2,y+1/2,-z'
'y,-x+1/2,z'
'-y,x+1/2,-z'
'x+1/2,-y,-z'
'-x+1/2,y,z'
'-y,-x,-z'
'y,x,z'
'-x,y+1/2,-z'
'x,-y+1/2,z'
'y+1/2,x+1/2,-z'
'-y+1/2,-x+1/2,z'
loop_
_atom_site_label
_atom_site_type_symbol
_atom_site_fract_x
_atom_site_fract_y
_atom_site_fract_z
_atom_site_occupancy
Ac1 Ac 0.250 0.250 0.204 1
Si1 Si 0.250 0.250 0.875 1
Si2 Si 0.250 0.750 0.500 1
Pt1 Pt 0.250 0.250 0.618 1

# 9
# PBE AcSiPt4, relaxed
# **ΔE_f (raw)**: -862 meV per atom
# **Calculated density**: 14.9 g/cm3
# **Crystal system**: monoclinic
# **ΔE to the lowest computed polymorph**: 0.000 eV per atom
data_AcSiPt4
_cell_length_a 10.850
_cell_length_b 5.956
_cell_length_c 7.730
_cell_angle_alpha 90.00
_cell_angle_beta 112.40
_cell_angle_gamma 90.00
_space_group_name_H-M_alt 'C 1 2/m 1'
_space_group_IT_number 12
_space_group_name_Hall '-C 2y'
loop_
_atom_site_label
_atom_site_type_symbol
_atom_site_fract_x
_atom_site_fract_y
_atom_site_fract_z
_atom_site_occupancy
Ac1 Ac 0.194 0.000 0.294 1
Si1 Si 0.049 0.500 0.289 1
Pt1 Pt 0.000 0.237 0.500 1
Pt2 Pt 0.108 0.250 0.908 1
Pt3 Pt 0.248 0.000 0.745 1

# 10
# PBE AcSiPt2, relaxed
# **ΔE_f (raw)**: -972 meV per atom
# **Calculated density**: 11.2 g/cm3
# **Crystal system**: orthorhombic
data_AcSiPt2
_cell_length_a 5.569
_cell_length_b 7.828
_cell_length_c 4.379
_cell_angle_alpha 90.00
_cell_angle_beta 90.00
_cell_angle_gamma 90.00
_space_group_name_H-M_alt 'C m m m'
_space_group_IT_number 65
_space_group_name_Hall '-C 2 2'
loop_
_atom_site_label
_atom_site_type_symbol
_atom_site_fract_x
_atom_site_fract_y
_atom_site_fract_z
_atom_site_occupancy
Ac1 Ac 0.000 0.000 0.000 1
Si1 Si 0.000 0.500 0.500 1
Pt1 Pt 0.250 0.250 0.500 1

# 11
# PBE Ac2Si7Pt12, relaxed
# **ΔE_f (raw)**: -841 meV per atom
# **Calculated density**: 13.9 g/cm3
# **Crystal system**: hexagonal
data_Ac2Si7Pt12
_cell_length_a 10.0690
_cell_length_b 10.0690
_cell_length_c 4.0657
_cell_angle_alpha 90.00
_cell_angle_beta 90.00
_cell_angle_gamma 120.00
_space_group_name_H-M_alt 'P -6'
_space_group_IT_number 174
_space_group_name_Hall 'P -6'
loop_
_atom_site_label
_atom_site_type_symbol
_atom_site_fract_x
_atom_site_fract_y
_atom_site_fract_z
_atom_site_occupancy
Ac1 Ac 0.0000 0.0000 0.0000 1
Ac2 Ac 0.3333 0.6667 0.5000 1
Si1 Si 0.0627 0.4440 0.0000 1
Si2 Si 0.2705 0.2279 0.5000 1
Si3 Si 0.6667 0.3333 0.0000 1
Pt1 Pt 0.0456 0.2643 0.5000 1
Pt2 Pt 0.1164 0.7146 0.0000 1
Pt3 Pt 0.3994 0.1864 0.0000 1
Pt4 Pt 0.5258 0.4495 0.5000 1

# 12
# PBE AcSi3Pt5, relaxed
# **ΔE_f (raw)**: -912 meV per atom
# **Calculated density**: 13.2 g/cm3
# **Crystal system**: orthorhombic
data_AcSi3Pt5
_cell_length_a 3.986
_cell_length_b 12.597
_cell_length_c 12.873
_cell_angle_alpha 90.00
_cell_angle_beta 90.00
_cell_angle_gamma 90.00
_space_group_name_H-M_alt 'C m c m'
_space_group_IT_number 63
_space_group_name_Hall '-C 2c 2'
loop_
_atom_site_label
_atom_site_type_symbol
_atom_site_fract_x
_atom_site_fract_y
_atom_site_fract_z
_atom_site_occupancy
Ac1 Ac 0.000 0.159 0.250 1
Si1 Si 0.000 0.114 0.750 1
Si2 Si 0.000 0.385 0.535 1
Pt1 Pt 0.000 0.000 0.000 1
Pt2 Pt 0.000 0.208 0.580 1
Pt3 Pt 0.000 0.452 0.146 1

# 13
# PBE Ac3Si2Pt7, relaxed
# **ΔE_f (raw)**: -900 meV per atom
# **Calculated density**: 13.0 g/cm3
# **Crystal system**: orthorhombic
data_Ac3Si2Pt7
_cell_length_a 4.317
_cell_length_b 29.935
_cell_length_c 4.160
_cell_angle_alpha 90.00
_cell_angle_beta 90.00
_cell_angle_gamma 90.00
_space_group_name_H-M_alt 'C m m m'
_space_group_IT_number 65
_space_group_name_Hall '-C 2 2'
loop_
_atom_site_label
_atom_site_type_symbol
_atom_site_fract_x
_atom_site_fract_y
_atom_site_fract_z
_atom_site_occupancy
Ac1 Ac 0.000 0.000 0.000 1
Ac2 Ac 0.000 0.198 0.000 1
Si1 Si 0.000 0.421 0.500 1
Pt1 Pt 0.000 0.114 0.500 1
Pt2 Pt 0.000 0.314 0.500 1
Pt3 Pt 0.000 0.384 0.000 1
Pt4 Pt 0.000 0.500 0.500 1

# 14
# PBE Ac3Si2Pt3, relaxed
# **ΔE_f (raw)**: -1019 meV per atom
# **Calculated density**: 10.8 g/cm3
# **Crystal system**: orthorhombic
data_Ac3Si2Pt3
_cell_length_a 4.395
_cell_length_b 11.324
_cell_length_c 16.409
_cell_angle_alpha 90.00
_cell_angle_beta 90.00
_cell_angle_gamma 90.00
_space_group_name_H-M_alt 'C m c m'
_space_group_IT_number 63
_space_group_name_Hall '-C 2c 2'
loop_
_atom_site_label
_atom_site_type_symbol
_atom_site_fract_x
_atom_site_fract_y
_atom_site_fract_z
_atom_site_occupancy
Ac1 Ac 0.000 0.053 0.250 1
Ac2 Ac 0.000 0.361 0.085 1
Si1 Si 0.000 0.349 0.617 1
Pt1 Pt 0.000 0.083 0.064 1
Pt2 Pt 0.000 0.243 0.750 1

# 15
# PBE Ac2Si3Pt2, relaxed
# **ΔE_f (raw)**: -797 meV per atom
# **Calculated density**: 10.2 g/cm3
# **Crystal system**: orthorhombic
data_Ac2Si3Pt2
_cell_length_a 4.600
_cell_length_b 18.609
_cell_length_c 7.058
_cell_angle_alpha 90.00
_cell_angle_beta 90.00
_cell_angle_gamma 90.00
_space_group_name_H-M_alt 'C m c m'
_space_group_IT_number 63
_space_group_name_Hall '-C 2c 2'
loop_
_atom_site_label
_atom_site_type_symbol
_atom_site_fract_x
_atom_site_fract_y
_atom_site_fract_z
_atom_site_occupancy
Ac1 Ac 0.000 0.058 0.250 1
Ac2 Ac 0.000 0.156 0.750 1
Si1 Si 0.000 0.229 0.250 1
Si2 Si 0.000 0.442 0.074 1
Pt1 Pt 0.000 0.310 0.547 1

# 16
# PBE Ac2Si12Pt7, relaxed
# **ΔE_f (raw)**: -600 meV per atom
# **Calculated density**: 9.8 g/cm3
# **Crystal system**: trigonal
data_Ac2Si12Pt7
_cell_length_a 10.0324
_cell_length_b 10.0324
_cell_length_c 4.1725
_cell_angle_alpha 90.00
_cell_angle_beta 90.00
_cell_angle_gamma 120.00
_space_group_name_H-M_alt 'P -3'
_space_group_IT_number 147
_space_group_name_Hall '-P 3'
loop_
_atom_site_label
_atom_site_type_symbol
_atom_site_fract_x
_atom_site_fract_y
_atom_site_fract_z
_atom_site_occupancy
Ac1 Ac 0.3333 0.6667 0.2591 1
Si1 Si 0.0675 0.4337 0.7357 1
Si2 Si 0.1287 0.2615 0.2682 1
Pt1 Pt 0.0000 0.0000 0.5000 1
Pt2 Pt 0.0895 0.6946 0.7774 1

# 17
# PBE AcSiPt4, relaxed
# **ΔE_f (raw)**: -799 meV per atom
# **Calculated density**: 15.3 g/cm3
# **Crystal system**: orthorhombic
# **ΔE to the lowest computed polymorph**: 0.063 eV per atom
data_AcSiPt4
_cell_length_a 7.899
_cell_length_b 3.963
_cell_length_c 7.202
_cell_angle_alpha 90.00
_cell_angle_beta 90.00
_cell_angle_gamma 90.00
_space_group_name_H-M_alt 'P m m a'
_space_group_IT_number 51
_space_group_name_Hall '-P 2a 2a'
loop_
_atom_site_label
_atom_site_type_symbol
_atom_site_fract_x
_atom_site_fract_y
_atom_site_fract_z
_atom_site_occupancy
Ac1 Ac 0.250 0.000 0.129 1
Si1 Si 0.250 0.000 0.695 1
Pt1 Pt 0.000 0.000 0.500 1
Pt2 Pt 0.063 0.500 0.806 1
Pt3 Pt 0.250 0.500 0.469 1

# 18
# PBE Ac2Si2Pt, relaxed
# **ΔE_f (raw)**: -738 meV per atom
# **Calculated density**: 9.3 g/cm3
# **Crystal system**: orthorhombic
# **ΔE to the lowest computed polymorph**: 0.140 eV per atom
data_Ac2Si2Pt
_cell_length_a 4.416
_cell_length_b 4.272
_cell_length_c 13.335
_cell_angle_alpha 90.00
_cell_angle_beta 90.00
_cell_angle_gamma 90.00
_space_group_name_H-M_alt 'A m m 2'
_space_group_IT_number 38
_space_group_name_Hall 'A 2 -2'
loop_
_atom_site_label
_atom_site_type_symbol
_atom_site_fract_x
_atom_site_fract_y
_atom_site_fract_z
_atom_site_occupancy
Ac1 Ac 0.000 0.000 0.000 1
Ac2 Ac 0.000 0.000 0.249 1
Si1 Si 0.500 0.000 0.626 1
Si2 Si 0.500 0.000 0.821 1
Pt1 Pt 0.500 0.000 0.425 1

# 19
# PBE AcSi4Pt2, relaxed
# **ΔE_f (raw)**: -620 meV per atom
# **Calculated density**: 9.2 g/cm3
# **Crystal system**: orthorhombic
data_AcSi4Pt2
_cell_length_a 17.629
_cell_length_b 4.288
_cell_length_c 6.970
_cell_angle_alpha 90.00
_cell_angle_beta 90.00
_cell_angle_gamma 90.00
_space_group_name_H-M_alt 'P n m a'
_space_group_IT_number 62
_space_group_name_Hall '-P 2ac 2n'
loop_
_atom_site_label
_atom_site_type_symbol
_atom_site_fract_x
_atom_site_fract_y
_atom_site_fract_z
_atom_site_occupancy
Ac1 Ac 0.164 0.250 0.044 1
Si1 Si 0.036 0.750 0.877 1
Si2 Si 0.047 0.250 0.447 1
Si3 Si 0.158 0.750 0.370 1
Si4 Si 0.165 0.750 0.723 1
Pt1 Pt 0.022 0.750 0.240 1
Pt2 Pt 0.179 0.250 0.545 1